First-principles (PBE-GGA) data for a relaxed structure of PmYRh4, as listed in the Alexandria database.

a = 5.3739 Å, b = 5.3739 Å, c = 5.3739 Å
α = 60.00°, β = 60.00°, γ = 60.00°
Sites, in units of the cell vectors:
Y: 0.2500 0.2500 0.2500
Rh: 0.1253 0.6249 0.6249
Pm: 0.0000 0.0000 0.0000
Rh: 0.6249 0.1253 0.6249
Rh: 0.6249 0.6249 0.6249
Rh: 0.6249 0.6249 0.1253

Values from the calculation:
Total energy (eV/atom): -7.47
Theoretical density (Mg/m³): 9.77



First-principles (PBE-GGA) data for a relaxed structure of PuHf4Ti, as listed in the Alexandria database.

a = 5.3135 Å, b = 8.9834 Å, c = 12.1433 Å
α = 115.86°, β = 90.00°, γ = 90.00°
Site moments in Bohr magnetons follow the coordinates.
Sites, in units of the cell vectors:
Ti: 0.2986 0.2529 0.3071  -0.06
Hf: 0.1801 0.9223 0.5610  0.02
Hf: 0.6499 0.4196 0.1851  0.03
Hf: 0.2625 0.5806 0.0662  -0.03
Hf: 0.8058 0.0846 0.1937  -0.05
Pu: 0.1592 0.2484 0.0563  5.17
Hf: 0.8501 0.4196 0.6851  0.03
Pu: 0.3408 0.2484 0.5563  5.17
Hf: 0.8199 0.0777 0.4390  0.02
Hf: 0.3501 0.5804 0.8149  0.03
Ti: 0.2014 0.2529 0.8071  -0.06
Hf: 0.7375 0.4194 0.9338  -0.03
Hf: 0.7625 0.4194 0.4338  -0.03
Hf: 0.1499 0.5804 0.3149  0.03
Ti: 0.7986 0.7471 0.1929  -0.06
Hf: 0.2375 0.5806 0.5662  -0.03
Pu: 0.8408 0.7516 0.9437  5.17
Hf: 0.3199 0.9223 0.0610  0.02
Hf: 0.1942 0.9154 0.8063  -0.05
Pu: 0.6592 0.7516 0.4437  5.17
Hf: 0.6801 0.0777 0.9390  0.02
Ti: 0.7014 0.7471 0.6929  -0.06
Hf: 0.3058 0.9154 0.3063  -0.05
Hf: 0.6942 0.0846 0.6937  -0.05

Values from the calculation:
Total energy (eV/atom): -10.22
Theoretical density (Mg/m³): 12.81



Across the entries above, DOS(E_F) takes the values 4.05, 32.74 states/eV per cell, respectively.
Across the entries above, formation energy from the elements takes the values -0.700, 0.116 eV/atom, respectively.